# 1
Computed, not measured: a crystal of Mo2RuBr relaxed with PBEsol at the SCAN level of DFT.

Formation energy without anion corrections (meV/atom): 762
Symmetry: C2/m

Cell: 5.024 5.024 4.391 Å, 92.92 92.92 34.61°
Sites, in units of the cell vectors:
Mo: 0.226 0.226 0.221
Mo: 0.774 0.774 0.779
Ru: 0.500 0.500 0.000
Br: 0.000 0.000 0.500

=====

# 2
Computed, not measured: a crystal of YSi2As relaxed with PBEsol at the SCAN level of DFT.

Formation energy without anion corrections (meV/atom): -380
Symmetry: Amm2

Cell: 3.883 5.930 5.930 Å, 37.74 90.00 90.00°
Sites, in units of the cell vectors:
Y: 0.000 0.000 0.000
Si: 0.000 0.259 0.259
Si: 0.500 0.375 0.375
As: 0.500 0.586 0.586

=====

# 3
Computed, not measured: a crystal of BaCdBr relaxed with PBEsol at the SCAN level of DFT.

Formation energy without anion corrections (meV/atom): -713
Symmetry: F-43m

Cell: 5.427 5.427 5.427 Å, 60.00 60.00 60.00°
Sites, in units of the cell vectors:
Ba: 0.000 0.000 0.000
Cd: 0.750 0.750 0.750
Br: 0.500 0.500 0.500

=====

# 4
Computed, not measured: a crystal of LaNiOs2 relaxed with PBEsol at the SCAN level of DFT.

Symmetry: P4/mmm
Raw total energy (eV for the cell shown): -201.15

Cell: 2.935 2.935 7.588 Å, 90.00 90.00 90.00°
Sites, in units of the cell vectors:
La: 0.000 0.000 0.000
Ni: 0.000 0.000 0.500
Os: 0.500 0.500 0.318
Os: 0.500 0.500 0.682

=====

# 5
Computed, not measured: a crystal of Hf3HRh relaxed with PBEsol at the SCAN level of DFT.

Symmetry: Pm-3m
Raw total energy (eV for the cell shown): -226.91

Cell: 4.257 4.257 4.257 Å, 90.00 90.00 90.00°
Sites, in units of the cell vectors:
Hf: 0.000 0.000 0.500
Hf: 0.000 0.500 0.000
Hf: 0.500 0.000 0.000
H: 0.000 0.000 0.000
Rh: 0.500 0.500 0.500

=====

# 6
Computed, not measured: a crystal of Cr2OsI relaxed with PBEsol at the SCAN level of DFT.

Formation energy without anion corrections (meV/atom): 1122
Symmetry: Fm-3m

Cell: 4.325 4.325 4.325 Å, 60.00 60.00 60.00°
Sites, in units of the cell vectors:
Cr: 0.250 0.250 0.250
Cr: 0.750 0.750 0.750
Os: 0.000 0.000 0.000
I: 0.500 0.500 0.500

=====

# 7
Computed, not measured: a crystal of Sb2AsPt relaxed with PBEsol at the SCAN level of DFT.

Formation energy without anion corrections (meV/atom): -244
Symmetry: Amm2

Cell: 3.897 4.908 4.908 Å, 67.82 90.00 90.00°
Sites, in units of the cell vectors:
Sb: 0.000 0.000 0.000
Sb: 0.500 0.297 0.297
As: 0.500 0.723 0.723
Pt: 0.000 0.521 0.521

=====

# 8
Computed, not measured: a crystal of YInPt relaxed with PBEsol at the SCAN level of DFT.

Symmetry: P-62m
Raw total energy (eV for the cell shown): -405.33

Cell: 7.523 7.523 3.864 Å, 90.00 90.00 120.00°
Sites, in units of the cell vectors:
Y: 0.000 0.593 0.000
Y: 0.407 0.407 0.000
Y: 0.593 0.000 0.000
In: 0.000 0.259 0.500
In: 0.259 0.000 0.500
In: 0.741 0.741 0.500
Pt: 0.000 0.000 0.000
Pt: 0.333 0.667 0.500
Pt: 0.667 0.333 0.500

=====

# 9
Computed, not measured: a crystal of ZnSb relaxed with PBEsol at the SCAN level of DFT.

Formation energy without anion corrections (meV/atom): 249
Symmetry: Cmme

Cell: 3.252 3.252 8.080 Å, 90.00 90.00 101.68°
Sites, in units of the cell vectors:
Zn: 0.250 0.750 0.909
Zn: 0.750 0.250 0.091
Sb: 0.250 0.750 0.335
Sb: 0.750 0.250 0.665

=====

# 10
Computed, not measured: a crystal of HRhO2 relaxed with PBEsol at the SCAN level of DFT.

Symmetry: I-42d
Raw total energy (eV for the cell shown): -100.32

Cell: 4.753 4.753 4.753 Å, 127.50 127.50 77.44°
Sites, in units of the cell vectors:
H: 0.000 0.000 0.000
H: 0.750 0.250 0.500
Rh: 0.250 0.750 0.500
Rh: 0.500 0.500 0.000
O: 0.048 0.625 0.923
O: 0.375 0.298 0.423
O: 0.702 0.125 0.077
O: 0.875 0.952 0.577

=====

# 11
Computed, not measured: a crystal of H3PtF relaxed with PBEsol at the SCAN level of DFT.

Symmetry: Pm-3m
Raw total energy (eV for the cell shown): -84.00

Cell: 3.389 3.389 3.389 Å, 90.00 90.00 90.00°
Sites, in units of the cell vectors:
H: 0.000 0.000 0.500
H: 0.000 0.500 0.000
H: 0.500 0.000 0.000
Pt: 0.000 0.000 0.000
F: 0.500 0.500 0.500

=====

# 12
Computed, not measured: a crystal of TaTc relaxed with PBEsol at the SCAN level of DFT.

Symmetry: Pm-3m
Raw total energy (eV for the cell shown): -102.85

Cell: 3.151 3.151 3.151 Å, 90.00 90.00 90.00°
Sites, in units of the cell vectors:
Ta: 0.000 0.000 0.000
Tc: 0.500 0.500 0.500

=====

# 13
Computed, not measured: a crystal of HfMnN3 relaxed with PBEsol at the SCAN level of DFT.

Formation energy without anion corrections (meV/atom): 261
Symmetry: Pm-3m

Cell: 4.125 4.125 4.125 Å, 90.00 90.00 90.00°
Sites, in units of the cell vectors:
Hf: 0.000 0.000 0.000
Mn: 0.500 0.500 0.500
N: 0.000 0.000 0.500
N: 0.000 0.500 0.000
N: 0.500 0.000 0.000

=====

# 14
Computed, not measured: a crystal of Li3NiOF3 relaxed with PBEsol at the SCAN level of DFT.

Formation energy without anion corrections (meV/atom): -2600
Symmetry: C2/m

Cell: 4.981 4.981 10.040 Å, 100.10 100.10 33.76°
Sites, in units of the cell vectors:
Li: 0.000 0.000 0.000
Li: 0.000 0.000 0.500
Li: 0.248 0.248 0.881
Li: 0.496 0.496 0.748
Li: 0.504 0.504 0.252
Li: 0.752 0.752 0.119
Ni: 0.244 0.244 0.382
Ni: 0.756 0.756 0.618
O: 0.370 0.370 0.562
O: 0.630 0.630 0.438
F: 0.123 0.123 0.701
F: 0.125 0.125 0.180
F: 0.375 0.375 0.061
F: 0.625 0.625 0.939
F: 0.875 0.875 0.820
F: 0.877 0.877 0.299

=====

# 15
Computed, not measured: a crystal of CdSnC3 relaxed with PBEsol at the SCAN level of DFT.

Symmetry: Pm-3m
Raw total energy (eV for the cell shown): -80.40

Cell: 4.267 4.267 4.267 Å, 90.00 90.00 90.00°
Sites, in units of the cell vectors:
Cd: 0.000 0.000 0.000
Sn: 0.500 0.500 0.500
C: 0.000 0.000 0.500
C: 0.000 0.500 0.000
C: 0.500 0.000 0.000

=====

# 16
Computed, not measured: a crystal of SrZnSnP2O8 relaxed with PBEsol at the SCAN level of DFT.

Formation energy without anion corrections (meV/atom): -2440
Symmetry: P-1

Cell: 5.328 8.302 9.470 Å, 110.27 105.95 92.97°
Sites, in units of the cell vectors:
Sr: 0.112 0.263 0.009
Sr: 0.888 0.737 0.991
Zn: 0.390 0.696 0.387
Zn: 0.610 0.304 0.613
Sn: 0.005 0.843 0.621
Sn: 0.995 0.157 0.379
P: 0.183 0.517 0.746
P: 0.448 0.980 0.237
P: 0.552 0.020 0.763
P: 0.817 0.483 0.254
O: 0.046 0.608 0.402
O: 0.133 0.708 0.773
O: 0.170 0.489 0.895
O: 0.237 0.047 0.137
O: 0.299 0.822 0.248
O: 0.312 0.067 0.822
O: 0.406 0.874 0.594
O: 0.453 0.498 0.714
O: 0.547 0.502 0.286
O: 0.594 0.126 0.406
O: 0.688 0.933 0.178
O: 0.701 0.178 0.752
O: 0.763 0.953 0.863
O: 0.830 0.511 0.105
O: 0.867 0.292 0.227
O: 0.954 0.392 0.598

=====

# 17
Computed, not measured: a crystal of La2SeCl relaxed with PBEsol at the SCAN level of DFT.

Formation energy without anion corrections (meV/atom): -1974
Symmetry: C2/m

Cell: 4.217 4.217 7.042 Å, 107.51 107.51 60.13°
Sites, in units of the cell vectors:
La: 0.249 0.249 0.246
La: 0.751 0.751 0.754
Se: 0.000 0.000 0.500
Cl: 0.500 0.500 0.000

=====

# 18
Computed, not measured: a crystal of ZrCu2Sb2 relaxed with PBEsol at the SCAN level of DFT.

Formation energy without anion corrections (meV/atom): -154
Symmetry: I4/mmm

Cell: 7.639 7.639 7.639 Å, 152.64 152.64 39.08°
Sites, in units of the cell vectors:
Zr: 0.000 0.000 0.000
Cu: 0.250 0.750 0.500
Cu: 0.750 0.250 0.500
Sb: 0.387 0.387 0.000
Sb: 0.613 0.613 0.000

=====

# 19
Computed, not measured: a crystal of ZnRh2Br relaxed with PBEsol at the SCAN level of DFT.

Formation energy without anion corrections (meV/atom): 380
Symmetry: Cmmm

Cell: 2.890 2.890 8.450 Å, 90.00 90.00 120.36°
Sites, in units of the cell vectors:
Zn: 0.000 0.000 0.000
Rh: 0.500 0.500 0.242
Rh: 0.500 0.500 0.758
Br: 0.000 0.000 0.500

=====

# 20
Computed, not measured: a crystal of LiMg relaxed with PBEsol at the SCAN level of DFT.

Symmetry: P3m1
Raw total energy (eV for the cell shown): -22.26

Cell: 3.093 3.093 15.121 Å, 90.00 90.00 120.00°
Sites, in units of the cell vectors:
Li: 0.000 0.000 0.000
Li: 0.000 0.000 0.331
Li: 0.333 0.667 0.495
Mg: 0.000 0.000 0.660
Mg: 0.333 0.667 0.164
Mg: 0.333 0.667 0.836

=====

# 21
Computed, not measured: a crystal of CrCoRh2 relaxed with PBEsol at the SCAN level of DFT.

Symmetry: R3m
Raw total energy (eV for the cell shown): -102.76

Cell: 8.480 8.480 8.480 Å, 17.60 17.60 17.60°
Sites, in units of the cell vectors:
Cr: 0.000 0.000 0.000
Co: 0.744 0.744 0.744
Rh: 0.252 0.252 0.252
Rh: 0.493 0.493 0.493

=====

# 22
Computed, not measured: a crystal of MgCoPb2 relaxed with PBEsol at the SCAN level of DFT.

Symmetry: I-4m2
Raw total energy (eV for the cell shown): -172.79

Cell: 5.649 5.649 5.649 Å, 136.57 136.57 63.09°
Sites, in units of the cell vectors:
Mg: 0.000 0.000 0.000
Co: 0.250 0.750 0.500
Pb: 0.500 0.500 0.000
Pb: 0.750 0.250 0.500

=====

# 23
Computed, not measured: a crystal of LaAg2Ir relaxed with PBEsol at the SCAN level of DFT.

Symmetry: R3m
Raw total energy (eV for the cell shown): -175.80

Cell: 9.951 9.951 9.951 Å, 17.15 17.15 17.15°
Sites, in units of the cell vectors:
La: 0.000 0.000 0.000
Ag: 0.508 0.508 0.508
Ag: 0.765 0.765 0.765
Ir: 0.252 0.252 0.252

=====

# 24
Computed, not measured: a crystal of Sc2CuH2 relaxed with PBEsol at the SCAN level of DFT.

Symmetry: I4/mmm
Raw total energy (eV for the cell shown): -53.47

Cell: 6.017 6.017 6.017 Å, 148.41 148.41 45.29°
Sites, in units of the cell vectors:
Sc: 0.144 0.144 0.000
Sc: 0.856 0.856 0.000
Cu: 0.500 0.500 0.000
H: 0.250 0.750 0.500
H: 0.750 0.250 0.500

=====

# 25
Computed, not measured: a crystal of Zn2SiIr relaxed with PBEsol at the SCAN level of DFT.

Formation energy without anion corrections (meV/atom): -98
Symmetry: Cmmm

Cell: 4.537 4.537 2.905 Å, 90.00 90.00 113.99°
Sites, in units of the cell vectors:
Zn: 0.000 0.500 0.000
Zn: 0.500 0.000 0.000
Si: 0.000 0.000 0.500
Ir: 0.500 0.500 0.500

=====

# 26
Computed, not measured: a crystal of Co3SnMo relaxed with PBEsol at the SCAN level of DFT.

Symmetry: Pm-3m
Raw total energy (eV for the cell shown): -113.53

Cell: 4.443 4.443 4.443 Å, 90.00 90.00 90.00°
Sites, in units of the cell vectors:
Co: 0.000 0.000 0.500
Co: 0.000 0.500 0.000
Co: 0.500 0.000 0.000
Sn: 0.000 0.000 0.000
Mo: 0.500 0.500 0.500

=====

# 27
Computed, not measured: a crystal of HoGe2Pd2 relaxed with PBEsol at the SCAN level of DFT.

Symmetry: I4/mmm
Raw total energy (eV for the cell shown): -157.13

Cell: 5.849 5.849 5.849 Å, 138.15 138.15 60.67°
Sites, in units of the cell vectors:
Ho: 0.000 0.000 0.000
Ge: 0.382 0.382 0.000
Ge: 0.618 0.618 0.000
Pd: 0.250 0.750 0.500
Pd: 0.750 0.250 0.500